(1)
A relaxed structure of RbNa3Ag2P2, computed with PBE.

Results
space group	Pm
total energy	-2.956	eV/atom
mass density	3.673	Mg/m³

The structure in CIF format:
```
data_RbNa3Ag2P2
_chemical_formula_sum 'Rb1 Na3 Ag2 P2'
_symmetry_space_group_name_H-M 'P 1'
_symmetry_Int_Tables_number 1
_symmetry_space_group_name_Hall 'P 1'
_cell_length_a 5.805
_cell_length_b 5.744
_cell_length_c 5.999
_cell_angle_alpha 90.00
_cell_angle_beta 102.40
_cell_angle_gamma 90.00
loop_
_atom_site_label
_atom_site_type_symbol
_atom_site_fract_x
_atom_site_fract_y
_atom_site_fract_z
Rb1 Rb 0.000 0.000 0.000
Na1 Na 0.076 0.500 0.378
Na2 Na 0.352 0.000 0.650
Na3 Na 0.707 0.500 0.702
Ag1 Ag 0.537 0.254 0.182
Ag2 Ag 0.537 0.746 0.182
P1 P 0.278 0.500 0.897
P2 P 0.780 0.000 0.467
```

(2)
A relaxed structure of RbNaAgP, computed with PBE.

Results
space group	Amm2
mass density	3.745	Mg/m³
relative energy among the computed polymorphs	0.18	eV per formula unit

The structure in CIF format:
```
data_RbNaAgP
_chemical_formula_sum 'Rb4 Na4 Ag4 P4'
_symmetry_space_group_name_H-M 'P 1'
_symmetry_Int_Tables_number 1
_symmetry_space_group_name_Hall 'P 1'
_cell_length_a 5.900
_cell_length_b 9.668
_cell_length_c 7.688
_cell_angle_alpha 90.00
_cell_angle_beta 90.00
_cell_angle_gamma 90.00
loop_
_atom_site_label
_atom_site_type_symbol
_atom_site_fract_x
_atom_site_fract_y
_atom_site_fract_z
Rb1 Rb 0.000 0.173 0.000
Rb2 Rb 0.000 0.327 0.500
Rb3 Rb 0.000 0.673 0.500
Rb4 Rb 0.000 0.827 0.000
Na1 Na 0.500 0.172 0.713
Na2 Na 0.500 0.328 0.213
Na3 Na 0.500 0.672 0.213
Na4 Na 0.500 0.828 0.713
Ag1 Ag 0.253 0.000 0.372
Ag2 Ag 0.253 0.500 0.872
Ag3 Ag 0.747 0.000 0.372
Ag4 Ag 0.747 0.500 0.872
P1 P 0.000 0.000 0.627
P2 P 0.000 0.500 0.127
P3 P 0.500 0.000 0.113
P4 P 0.500 0.500 0.613
```

(3)
A relaxed structure of RbNaAgP, computed with PBE.

Results
space group	Ama2
mass density	3.748	Mg/m³
relative energy among the computed polymorphs	0.14	eV per formula unit

The structure in CIF format:
```
data_RbNaAgP
_chemical_formula_sum 'Rb4 Na4 Ag4 P4'
_symmetry_space_group_name_H-M 'P 1'
_symmetry_Int_Tables_number 1
_symmetry_space_group_name_Hall 'P 1'
_cell_length_a 6.007
_cell_length_b 7.670
_cell_length_c 9.514
_cell_angle_alpha 90.00
_cell_angle_beta 90.00
_cell_angle_gamma 90.00
loop_
_atom_site_label
_atom_site_type_symbol
_atom_site_fract_x
_atom_site_fract_y
_atom_site_fract_z
Rb1 Rb 0.250 0.142 0.000
Rb2 Rb 0.250 0.642 0.500
Rb3 Rb 0.750 0.358 0.500
Rb4 Rb 0.750 0.858 0.000
Na1 Na 0.250 0.141 0.351
Na2 Na 0.250 0.641 0.851
Na3 Na 0.750 0.359 0.851
Na4 Na 0.750 0.859 0.351
Ag1 Ag 0.000 0.000 0.673
Ag2 Ag 0.000 0.500 0.173
Ag3 Ag 0.500 0.000 0.673
Ag4 Ag 0.500 0.500 0.173
P1 P 0.250 0.254 0.659
P2 P 0.250 0.754 0.159
P3 P 0.750 0.246 0.159
P4 P 0.750 0.746 0.659
```

(4)
A relaxed structure of RbNaAgP, computed with PBE.

Results
space group	P2_1/m
mass density	3.696	Mg/m³
relative energy among the computed polymorphs	0.00	eV per formula unit

The structure in CIF format:
```
data_RbNaAgP
_chemical_formula_sum 'Rb2 Na2 Ag2 P2'
_symmetry_space_group_name_H-M 'P 1'
_symmetry_Int_Tables_number 1
_symmetry_space_group_name_Hall 'P 1'
_cell_length_a 6.285
_cell_length_b 5.697
_cell_length_c 6.321
_cell_angle_alpha 90.00
_cell_angle_beta 100.98
_cell_angle_gamma 90.00
loop_
_atom_site_label
_atom_site_type_symbol
_atom_site_fract_x
_atom_site_fract_y
_atom_site_fract_z
Rb1 Rb 0.198 0.250 0.041
Rb2 Rb 0.802 0.750 0.959
Na1 Na 0.476 0.250 0.630
Na2 Na 0.524 0.750 0.370
Ag1 Ag 0.000 0.000 0.500
Ag2 Ag 0.000 0.500 0.500
P1 P 0.280 0.750 0.717
P2 P 0.720 0.250 0.283
```

(5)
A relaxed structure of NaAg2PS4, computed with PBE.

Results
space group	I-42m
total energy	-4.030	eV/atom
mass density	3.685	Mg/m³

The structure in CIF format:
```
data_NaAg2PS4
_chemical_formula_sum 'Na2 Ag4 P2 S8'
_symmetry_space_group_name_H-M 'P 1'
_symmetry_Int_Tables_number 1
_symmetry_space_group_name_Hall 'P 1'
_cell_length_a 6.407
_cell_length_b 6.407
_cell_length_c 8.739
_cell_angle_alpha 90.00
_cell_angle_beta 90.00
_cell_angle_gamma 90.00
loop_
_atom_site_label
_atom_site_type_symbol
_atom_site_fract_x
_atom_site_fract_y
_atom_site_fract_z
Na1 Na 0.000 0.000 0.000
Na2 Na 0.500 0.500 0.500
Ag1 Ag 0.000 0.500 0.250
Ag2 Ag 0.000 0.500 0.750
Ag3 Ag 0.500 0.000 0.250
Ag4 Ag 0.500 0.000 0.750
P1 P 0.000 0.000 0.500
P2 P 0.500 0.500 0.000
S1 S 0.191 0.191 0.629
S2 S 0.191 0.809 0.371
S3 S 0.309 0.309 0.129
S4 S 0.309 0.691 0.871
S5 S 0.691 0.309 0.871
S6 S 0.691 0.691 0.129
S7 S 0.809 0.191 0.371
S8 S 0.809 0.809 0.629
```

(6)
A relaxed structure of NaPaAg, computed with PBE.

Results
magnetization	2.05	μB per formula unit
space group	F-43m
mass density	7.175	Mg/m³
relative energy among the computed polymorphs	0.00	eV per formula unit

The structure in CIF format:
```
data_NaPaAg
_chemical_formula_sum 'Na4 Pa4 Ag4'
_symmetry_space_group_name_H-M 'P 1'
_symmetry_Int_Tables_number 1
_symmetry_space_group_name_Hall 'P 1'
_cell_length_a 6.945
_cell_length_b 6.945
_cell_length_c 6.945
_cell_angle_alpha 90.00
_cell_angle_beta 90.00
_cell_angle_gamma 90.00
loop_
_atom_site_label
_atom_site_type_symbol
_atom_site_fract_x
_atom_site_fract_y
_atom_site_fract_z
Na1 Na 0.000 0.000 0.000
Na2 Na 0.000 0.500 0.500
Na3 Na 0.500 0.000 0.500
Na4 Na 0.500 0.500 0.000
Pa1 Pa 0.000 0.000 0.500
Pa2 Pa 0.000 0.500 0.000
Pa3 Pa 0.500 0.000 0.000
Pa4 Pa 0.500 0.500 0.500
Ag1 Ag 0.250 0.250 0.250
Ag2 Ag 0.250 0.750 0.750
Ag3 Ag 0.750 0.250 0.750
Ag4 Ag 0.750 0.750 0.250
```

(7)
A relaxed structure of NaPaAg, computed with PBE.

Results
magnetization	2.34	μB per formula unit
space group	F-43m
mass density	6.844	Mg/m³
relative energy among the computed polymorphs	1.24	eV per formula unit

The structure in CIF format:
```
data_NaPaAg
_chemical_formula_sum 'Na4 Pa4 Ag4'
_symmetry_space_group_name_H-M 'P 1'
_symmetry_Int_Tables_number 1
_symmetry_space_group_name_Hall 'P 1'
_cell_length_a 7.055
_cell_length_b 7.055
_cell_length_c 7.055
_cell_angle_alpha 90.00
_cell_angle_beta 90.00
_cell_angle_gamma 90.00
loop_
_atom_site_label
_atom_site_type_symbol
_atom_site_fract_x
_atom_site_fract_y
_atom_site_fract_z
Na1 Na 0.000 0.000 0.000
Na2 Na 0.000 0.500 0.500
Na3 Na 0.500 0.000 0.500
Na4 Na 0.500 0.500 0.000
Pa1 Pa 0.250 0.250 0.750
Pa2 Pa 0.250 0.750 0.250
Pa3 Pa 0.750 0.250 0.250
Pa4 Pa 0.750 0.750 0.750
Ag1 Ag 0.000 0.000 0.500
Ag2 Ag 0.000 0.500 0.000
Ag3 Ag 0.500 0.000 0.000
Ag4 Ag 0.500 0.500 0.500
```

(8)
A relaxed structure of NaPaAgTe3, computed with PBE.

Results
magnetization	1.00	μB per formula unit
space group	Cmcm
total energy	-4.556	eV/atom
mass density	6.739	Mg/m³

The structure in CIF format:
```
data_NaPaAgTe3
_chemical_formula_sum 'Na2 Pa2 Ag2 Te6'
_symmetry_space_group_name_H-M 'P 1'
_symmetry_Int_Tables_number 1
_symmetry_space_group_name_Hall 'P 1'
_cell_length_a 7.711
_cell_length_b 7.711
_cell_length_c 11.402
_cell_angle_alpha 90.00
_cell_angle_beta 90.00
_cell_angle_gamma 147.22
loop_
_atom_site_label
_atom_site_type_symbol
_atom_site_fract_x
_atom_site_fract_y
_atom_site_fract_z
Na1 Na 0.236 0.764 0.750
Na2 Na 0.764 0.236 0.250
Pa1 Pa 0.000 0.000 0.000
Pa2 Pa 0.000 0.000 0.500
Ag1 Ag 0.468 0.532 0.250
Ag2 Ag 0.532 0.468 0.750
Te1 Te 0.089 0.911 0.250
Te2 Te 0.357 0.643 0.053
Te3 Te 0.357 0.643 0.447
Te4 Te 0.643 0.357 0.553
Te5 Te 0.643 0.357 0.947
Te6 Te 0.911 0.089 0.750
```

(9)
A relaxed structure of Na3Ag2Pb, computed with PBE.

Results
space group	Fmm2
total energy	-2.309	eV/atom
mass density	5.510	Mg/m³

The structure in CIF format:
```
data_Na3Ag2Pb
_chemical_formula_sum 'Na3 Ag2 Pb1'
_symmetry_space_group_name_H-M 'P 1'
_symmetry_Int_Tables_number 1
_symmetry_space_group_name_Hall 'P 1'
_cell_length_a 7.168
_cell_length_b 5.825
_cell_length_c 5.840
_cell_angle_alpha 75.83
_cell_angle_beta 51.99
_cell_angle_gamma 52.18
loop_
_atom_site_label
_atom_site_type_symbol
_atom_site_fract_x
_atom_site_fract_y
_atom_site_fract_z
Na1 Na 0.000 0.000 0.000
Na2 Na 0.500 0.819 0.181
Na3 Na 0.819 0.500 0.500
Ag1 Ag 0.407 0.407 0.093
Ag2 Ag 0.907 0.907 0.593
Pb1 Pb 0.332 0.332 0.668
```

(10)
A relaxed structure of NaAg3PbS4, computed with PBE.

Results
space group	P-43m
total energy	-3.443	eV/atom
mass density	4.522	Mg/m³

The structure in CIF format:
```
data_NaAg3PbS4
_chemical_formula_sum 'Na1 Ag3 Pb1 S4'
_symmetry_space_group_name_H-M 'P 1'
_symmetry_Int_Tables_number 1
_symmetry_space_group_name_Hall 'P 1'
_cell_length_a 6.304
_cell_length_b 6.304
_cell_length_c 6.304
_cell_angle_alpha 90.00
_cell_angle_beta 90.00
_cell_angle_gamma 90.00
loop_
_atom_site_label
_atom_site_type_symbol
_atom_site_fract_x
_atom_site_fract_y
_atom_site_fract_z
Na1 Na 0.000 0.000 0.000
Ag1 Ag 0.000 0.500 0.500
Ag2 Ag 0.500 0.000 0.500
Ag3 Ag 0.500 0.500 0.000
Pb1 Pb 0.500 0.500 0.500
S1 S 0.267 0.267 0.267
S2 S 0.267 0.733 0.733
S3 S 0.733 0.267 0.733
S4 S 0.733 0.733 0.267
```

(11)
A relaxed structure of NaAgTePbS2, computed with PBE.

Results
space group	Cmcm
total energy	-3.462	eV/atom
mass density	5.335	Mg/m³

The structure in CIF format:
```
data_NaAgTePbS2
_chemical_formula_sum 'Na2 Ag2 Te2 Pb2 S4'
_symmetry_space_group_name_H-M 'P 1'
_symmetry_Int_Tables_number 1
_symmetry_space_group_name_Hall 'P 1'
_cell_length_a 7.590
_cell_length_b 7.590
_cell_length_c 11.775
_cell_angle_alpha 90.00
_cell_angle_beta 90.00
_cell_angle_gamma 150.91
loop_
_atom_site_label
_atom_site_type_symbol
_atom_site_fract_x
_atom_site_fract_y
_atom_site_fract_z
Na1 Na 0.202 0.798 0.750
Na2 Na 0.798 0.202 0.250
Ag1 Ag 0.473 0.527 0.250
Ag2 Ag 0.527 0.473 0.750
Te1 Te 0.112 0.888 0.250
Te2 Te 0.888 0.112 0.750
Pb1 Pb 0.000 0.000 0.000
Pb2 Pb 0.000 0.000 0.500
S1 S 0.376 0.624 0.075
S2 S 0.376 0.624 0.425
S3 S 0.624 0.376 0.575
S4 S 0.624 0.376 0.925
```

(12)
A relaxed structure of NaAgTe2PbSe, computed with PBE.

Results
space group	Cmcm
total energy	-3.270	eV/atom
mass density	6.450	Mg/m³

The structure in CIF format:
```
data_NaAgTe2PbSe
_chemical_formula_sum 'Na2 Ag2 Te4 Pb2 Se2'
_symmetry_space_group_name_H-M 'P 1'
_symmetry_Int_Tables_number 1
_symmetry_space_group_name_Hall 'P 1'
_cell_length_a 7.084
_cell_length_b 7.084
_cell_length_c 11.847
_cell_angle_alpha 90.00
_cell_angle_beta 90.00
_cell_angle_gamma 144.40
loop_
_atom_site_label
_atom_site_type_symbol
_atom_site_fract_x
_atom_site_fract_y
_atom_site_fract_z
Na1 Na 0.203 0.797 0.750
Na2 Na 0.797 0.203 0.250
Ag1 Ag 0.072 0.928 0.250
Ag2 Ag 0.928 0.072 0.750
Te1 Te 0.167 0.833 0.035
Te2 Te 0.167 0.833 0.465
Te3 Te 0.833 0.167 0.535
Te4 Te 0.833 0.167 0.965
Pb1 Pb 0.500 0.500 0.000
Pb2 Pb 0.500 0.500 0.500
Se1 Se 0.453 0.547 0.250
Se2 Se 0.547 0.453 0.750
```

> Which formula does entry 6 have?

NaPaAg

> Which of these has the highest mass density?

number 6

> Which value of mass density does entry 4 give?

3.696 Mg/m³

> Which of these has the highest mass density?

number 6